DFT (PBE-GGA) results for a relaxed structure of CuSb2W.

Cell and atoms, written as POSCAR:
```
CuSb2W
1.0
3.8855 0.0000 0.0000
0.0000 1.8390 5.3848
0.0000 -1.8390 5.3848
Cu Sb W
1 2 1
Direct
0.0000 0.0000 0.0000 Cu
0.0000 0.2432 0.2432 Sb
0.5000 0.5378 0.5378 Sb
0.5000 0.8314 0.8314 W
```

Output
Energy above the lowest structure with this stoichiometry, meV/atom: 0.0
Volume, Å³/cell: 77.0
Formation energy (no corrections), kcal/mol of atoms: 7.4
Crystal system: orthorhombic
SG: Amm2, No. 38

***

DFT (PBE-GGA) results for a relaxed structure of CuSb2W.

Cell and atoms, written as POSCAR:
```
CuSb2W
1.0
-3.0654 3.0654 5.8985
3.0654 -3.0654 5.8985
3.0654 3.0654 -5.8985
Cu Sb W
2 4 2
Direct
0.0000 0.0000 0.0000 Cu
0.7500 0.2500 0.5000 Cu
0.1186 0.6250 0.9936 Sb
0.3750 0.3686 0.4936 Sb
0.6314 0.1250 0.0064 Sb
0.8750 0.8814 0.5064 Sb
0.2500 0.7500 0.5000 W
0.5000 0.5000 0.0000 W
```

Output
Energy above the lowest structure with this stoichiometry, meV/atom: 510.8
Volume, Å³/cell: 221.7
Formation energy (no corrections), kcal/mol of atoms: 19.2
Crystal system: tetragonal
SG: I-42d, No. 122

***

DFT (PBE-GGA) results for a relaxed structure of CuSb2W.

Cell and atoms, written as POSCAR:
```
CuSb2W
1.0
4.4930 -1.6499 0.0000
4.4930 1.6499 0.0000
-0.6521 0.0000 5.2748
Cu Sb W
1 2 1
Direct
0.0000 0.0000 0.0000 Cu
0.2295 0.2295 0.7363 Sb
0.7705 0.7705 0.2637 Sb
0.5000 0.5000 0.5000 W
```

Output
Energy above the lowest structure with this stoichiometry, meV/atom: 264.3
Volume, Å³/cell: 78.2
Formation energy (no corrections), kcal/mol of atoms: 13.5
Crystal system: monoclinic
SG: C2/m, No. 12

***

DFT (PBE-GGA) results for a relaxed structure of CuSb2W.

Cell and atoms, written as POSCAR:
```
CuSb2W
1.0
-2.0108 2.0108 4.7647
2.0108 -2.0108 4.7647
2.0108 2.0108 -4.7647
Cu Sb W
1 2 1
Direct
0.0000 0.0000 0.0000 Cu
0.2500 0.7500 0.5000 Sb
0.5000 0.5000 0.0000 Sb
0.7500 0.2500 0.5000 W
```

Output
Energy above the lowest structure with this stoichiometry, meV/atom: 402.1
Volume, Å³/cell: 77.1
Formation energy (no corrections), kcal/mol of atoms: 16.7
Crystal system: tetragonal
SG: I-4m2, No. 119

***

DFT (PBE-GGA) results for a relaxed structure of Cu3SbW.

Cell and atoms, written as POSCAR:
```
Cu3SbW
1.0
4.7162 0.0000 0.0000
0.0000 4.7162 0.0000
0.0000 0.0000 4.7162
Cu Sb W
3 1 1
Direct
0.0000 0.0000 0.5000 Cu
0.0000 0.5000 0.0000 Cu
0.5000 0.0000 0.0000 Cu
0.5000 0.5000 0.5000 Sb
0.0000 0.0000 0.0000 W
```

Output
Energy above the lowest structure with this stoichiometry, meV/atom: 0.0
Volume, Å³/cell: 104.9
Formation energy (no corrections), kcal/mol of atoms: 33.0
Crystal system: cubic
SG: Pm-3m, No. 221

***

DFT (PBE-GGA) results for a relaxed structure of ZrCuSbW2.

Cell and atoms, written as POSCAR:
```
ZrCuSbW2
1.0
4.8882 0.0000 0.0000
0.0000 4.8882 0.0000
0.0000 0.0000 5.2394
Zr Cu Sb W
1 1 1 2
Direct
0.0000 0.0000 0.0000 Zr
0.5000 0.5000 0.0000 Cu
0.0000 0.0000 0.5000 Sb
0.0000 0.5000 0.5000 W
0.5000 0.0000 0.5000 W
```

Output
Volume, Å³/cell: 125.2
Formation energy (no corrections), kcal/mol of atoms: 49.8
Crystal system: tetragonal
SG: P4/mmm, No. 123

***

DFT (PBE-GGA) results for a relaxed structure of Y2Cu2Sb.

Cell and atoms, written as POSCAR:
```
Y2Cu2Sb
1.0
8.1517 0.0000 0.0000
0.0000 8.1517 0.0000
0.0000 0.0000 3.5657
Y Cu Sb
4 4 2
Direct
0.1728 0.3272 0.0000 Y
0.3272 0.8272 0.0000 Y
0.6728 0.1728 0.0000 Y
0.8272 0.6728 0.0000 Y
0.1117 0.6117 0.5000 Cu
0.3883 0.1117 0.5000 Cu
0.6117 0.8883 0.5000 Cu
0.8883 0.3883 0.5000 Cu
0.0000 0.0000 0.0000 Sb
0.5000 0.5000 0.0000 Sb
```

Output
Energy above the lowest structure with this stoichiometry, meV/atom: 337.3
Volume, Å³/cell: 236.9
Formation energy (no corrections), kcal/mol of atoms: -4.5
Crystal system: tetragonal
SG: P4/mbm, No. 127

***

DFT (PBE-GGA) results for a relaxed structure of Y2CuSb4.

Cell and atoms, written as POSCAR:
```
Y2CuSb4
1.0
4.3633 0.0000 0.0000
0.0000 4.3633 0.0000
0.0000 0.0000 9.3893
Y Cu Sb
2 1 4
Direct
0.0000 0.5000 0.2381 Y
0.5000 0.0000 0.7619 Y
0.5000 0.5000 0.0000 Cu
0.0000 0.0000 0.5000 Sb
0.0000 0.5000 0.8557 Sb
0.5000 0.0000 0.1443 Sb
0.5000 0.5000 0.5000 Sb
```

Output
Volume, Å³/cell: 178.8
Formation energy (no corrections), kcal/mol of atoms: -15.8
Crystal system: tetragonal
SG: P-4m2, No. 115

***

Which value of formation energy (no corrections) does entry 5 give? 33.0 kcal/mol of atoms

***

Which of these has the highest formation energy (no corrections)? ZrCuSbW2

***

Number 3 is which compound? CuSb2W

***

What is the formation energy (no corrections) in the first record? 7.4 kcal/mol of atoms